No. 1
Entry from Alexandria: crystalline Pr2HoTh at its relaxed geometry (PBE).

Total magnetic moment, Bohr magnetons per cell: 0.000
Density, g/cm³: 8.23
DFT total energy, eV/atom: -5.20

The structure in CIF format:
```
data_Pr2HoTh
_cell_length_a 3.5253
_cell_length_b 3.5253
_cell_length_c 38.1734
_cell_angle_alpha 90.00
_cell_angle_beta 90.00
_cell_angle_gamma 120.00
_symmetry_space_group_name_H-M 'R -3 m'
_symmetry_Int_Tables_number 166
_symmetry_space_group_name_Hall '-R 3 2"'
loop_
_atom_site_label
_atom_site_fract_x
_atom_site_fract_y
_atom_site_fract_z
Pr1 0.0000 0.0000 0.0896
Ho1 0.0000 0.0000 0.5000
Th1 0.0000 0.0000 0.0000
```


No. 2
Entry from Alexandria: crystalline PrHo2Th at its relaxed geometry (PBE).

Total magnetic moment, Bohr magnetons per cell: 0.000
Density, g/cm³: 9.00
DFT total energy, eV/atom: -5.29

The structure in CIF format:
```
data_PrHo2Th
_cell_length_a 5.1009
_cell_length_b 5.1009
_cell_length_c 4.9840
_cell_angle_alpha 90.00
_cell_angle_beta 90.00
_cell_angle_gamma 90.00
_symmetry_space_group_name_H-M 'P 4/m m m'
_symmetry_Int_Tables_number 123
_symmetry_space_group_name_Hall '-P 4 2'
loop_
_atom_site_label
_atom_site_fract_x
_atom_site_fract_y
_atom_site_fract_z
Pr1 0.0000 0.0000 0.0000
Ho1 0.0000 0.5000 0.5000
Th1 0.5000 0.5000 0.0000
```


No. 3
Entry from Alexandria: crystalline PrHo2Th at its relaxed geometry (PBE).

Total magnetic moment, Bohr magnetons per cell: 0.001
Density, g/cm³: 8.78
DFT total energy, eV/atom: -5.20

The structure in CIF format:
```
data_PrHo2Th
_cell_length_a 3.5200
_cell_length_b 3.5200
_cell_length_c 37.1809
_cell_angle_alpha 90.00
_cell_angle_beta 90.00
_cell_angle_gamma 120.00
_symmetry_space_group_name_H-M 'R -3 m'
_symmetry_Int_Tables_number 166
_symmetry_space_group_name_Hall '-R 3 2"'
loop_
_atom_site_label
_atom_site_fract_x
_atom_site_fract_y
_atom_site_fract_z
Pr1 0.0000 0.0000 0.0000
Ho1 0.0000 0.0000 0.0922
Th1 0.0000 0.0000 0.5000
```


No. 4
Entry from Alexandria: crystalline PrHo8Th4 at its relaxed geometry (PBE).

Total magnetic moment, Bohr magnetons per cell: 0.000
Density, g/cm³: 9.49
DFT total energy, eV/atom: -5.25

The structure in CIF format:
```
data_PrHo8Th4
_cell_length_a 7.3700
_cell_length_b 7.3700
_cell_length_c 26.6521
_cell_angle_alpha 90.00
_cell_angle_beta 90.00
_cell_angle_gamma 120.00
_symmetry_space_group_name_H-M 'R -3 m'
_symmetry_Int_Tables_number 166
_symmetry_space_group_name_Hall '-R 3 2"'
loop_
_atom_site_label
_atom_site_fract_x
_atom_site_fract_y
_atom_site_fract_z
Pr1 0.0000 0.0000 0.0000
Ho1 0.0000 0.0000 0.2784
Ho2 0.0412 0.5206 0.2699
Th1 0.0000 0.0000 0.5000
Th2 0.0000 0.5000 0.5000
```


No. 5
Entry from Alexandria: crystalline Pr7Ho16Th6 at its relaxed geometry (PBE).

Total magnetic moment, Bohr magnetons per cell: 0.044
Density, g/cm³: 8.53
DFT total energy, eV/atom: -4.88

The structure in CIF format:
```
data_Pr7Ho16Th6
_cell_length_a 15.7484
_cell_length_b 15.7484
_cell_length_c 15.7484
_cell_angle_alpha 90.00
_cell_angle_beta 90.00
_cell_angle_gamma 90.00
_symmetry_space_group_name_H-M 'F m -3 m'
_symmetry_Int_Tables_number 225
_symmetry_space_group_name_Hall '-F 4 2 3'
loop_
_atom_site_label
_atom_site_fract_x
_atom_site_fract_y
_atom_site_fract_z
Pr1 0.0000 0.0000 0.0000
Pr2 0.0000 0.2500 0.2500
Ho1 0.1217 0.1217 0.1217
Ho2 0.1584 0.1584 0.3416
Th1 0.0000 0.0000 0.3311
```


No. 6
Entry from Alexandria: crystalline Pr8Ho2Th at its relaxed geometry (PBE).

Total magnetic moment, Bohr magnetons per cell: 0.000
Density, g/cm³: 7.07
DFT total energy, eV/atom: -4.82

The structure in CIF format:
```
data_Pr8Ho2Th
_cell_length_a 10.5106
_cell_length_b 13.7469
_cell_length_c 5.4932
_cell_angle_alpha 90.00
_cell_angle_beta 90.00
_cell_angle_gamma 90.00
_symmetry_space_group_name_H-M 'C m m m'
_symmetry_Int_Tables_number 65
_symmetry_space_group_name_Hall '-C 2 2'
loop_
_atom_site_label
_atom_site_fract_x
_atom_site_fract_y
_atom_site_fract_z
Pr1 0.0000 0.2484 0.0000
Pr2 0.1660 0.3687 0.5000
Pr3 0.1688 0.0000 0.0000
Ho1 0.0000 0.1191 0.5000
Th1 0.0000 0.5000 0.0000
```


No. 7
Entry from Alexandria: crystalline PrHo2Th6 at its relaxed geometry (PBE).

Total magnetic moment, Bohr magnetons per cell: 0.000
Density, g/cm³: 10.51
DFT total energy, eV/atom: -6.41

The structure in CIF format:
```
data_PrHo2Th6
_cell_length_a 3.5419
_cell_length_b 3.5419
_cell_length_c 27.0898
_cell_angle_alpha 90.00
_cell_angle_beta 90.00
_cell_angle_gamma 120.00
_symmetry_space_group_name_H-M 'P -6 m 2'
_symmetry_Int_Tables_number 187
_symmetry_space_group_name_Hall 'P -6 2'
loop_
_atom_site_label
_atom_site_fract_x
_atom_site_fract_y
_atom_site_fract_z
Pr1 0.0000 0.0000 0.0000
Ho1 0.6667 0.3333 0.3311
Th1 0.0000 0.0000 0.2223
Th2 0.0000 0.0000 0.4386
Th3 0.6667 0.3333 0.1142
```


No. 8
Entry from Alexandria: crystalline Pr3Ho7Th at its relaxed geometry (PBE).

Total magnetic moment, Bohr magnetons per cell: 0.000
Density, g/cm³: 7.93
DFT total energy, eV/atom: -4.72

The structure in CIF format:
```
data_Pr3Ho7Th
_cell_length_a 7.0609
_cell_length_b 7.0609
_cell_length_c 8.7748
_cell_angle_alpha 90.00
_cell_angle_beta 90.00
_cell_angle_gamma 120.00
_symmetry_space_group_name_H-M 'P 3 m 1'
_symmetry_Int_Tables_number 156
_symmetry_space_group_name_Hall 'P 3 -2"'
loop_
_atom_site_label
_atom_site_fract_x
_atom_site_fract_y
_atom_site_fract_z
Pr1 0.0036 0.5018 0.0000
Ho1 0.1687 0.3373 0.6573
Ho2 0.3342 0.1671 0.3367
Ho3 0.6667 0.3333 0.6576
Th1 0.3333 0.6667 0.3375
```


Question: Among the records above, which one has the highest total magnetic moment?
Answer: Pr7Ho16Th6